A plane-wave DFT calculation with PBE+U was carried out for Li2Cr3FeO8 after structural relaxation.

Lattice parameters (Å, degrees): 5.957 5.957 5.921 61.01 61.01 57.91
Last column: magnetic moment on the atom in μB.
Atoms (fractional coordinates):
O: 0.779 0.268 0.709  -0.07
O: 0.221 0.732 0.291  -0.07
O: 0.265 0.265 0.704  -0.09
O: 0.249 0.249 0.285  -0.02
O: 0.735 0.735 0.296  -0.09
O: 0.732 0.221 0.291  -0.07
O: 0.751 0.751 0.715  -0.02
O: 0.268 0.779 0.709  -0.07
Cr: 0.000 0.500 0.500  2.16
Cr: 0.500 0.000 0.500  2.16
Cr: 0.500 0.500 0.500  2.99
Li: 0.500 0.500 0.000  0.00
Li: 0.000 0.000 0.000  0.00
Fe: 0.000 0.000 0.500  3.10

Values from the calculation:
The calculation puts the total energy at -94.89 eV/cell. For the density of states at the Fermi level, the calculation gives 0.017 states/eV/atom. For the density, the calculation gives 3.96 g/cm3. The distance to the lowest polymorph of the same formula is 110 meV/atom.